A plane-wave DFT calculation with PBE was carried out for Mg2CoOs after structural relaxation.

a b c (Å): 3.813 3.813 8.211
angles (deg): 90.00 90.00 90.00
Space group I4/mmm (No. 139)
Inequivalent atoms, fractional coordinates:
Mg  0.000  0.500  0.250 (multiplicity 4)
Co  0.000  0.000  0.000 (multiplicity 2)
Os  0.000  0.000  0.500 (multiplicity 2)

Summary:
Energy above the lowest structure with this stoichiometry, meV/atom: 179
DFT formation energy, eV per formula unit: 1.12